[1]
LiGa2PSe6: relaxed, GGA-PBE.

Values from the calculation:
Total moment, μB per cell: 0.00
Formation energy (no corrections), eV/atom: -0.398
SG: No. 15

Cell and atoms, written as POSCAR:
```
LiGa2PSe6
1.0
7.1507 0.7788 0.8083
3.3270 9.8853 0.0353
3.3270 -0.3311 9.8798
Se Ga Li P
12 4 2 2
Cartesian
8.5814 7.6577 9.0859
3.6261 1.0256 7.3457
1.6479 1.1477 2.3300
6.7507 2.8159 5.7852
12.1567 9.1853 8.3934
7.2015 7.6921 1.7012
7.0539 7.5171 4.9382
3.1754 5.2874 2.6243
10.6292 5.0456 8.0990
5.2232 2.6753 1.6374
6.6031 2.6410 9.0221
10.1785 9.3074 3.3776
2.7597 3.1252 1.6175
6.3351 1.8899 3.5871
7.4695 8.4431 7.1362
11.0448 7.2078 9.1059
5.1146 0.3633 9.6003
8.6900 9.9697 1.1230
8.6900 7.6114 3.3954
5.1146 2.7216 7.3279
```

---

[2]
LiNb2InN: relaxed, GGA-PBE.

Values from the calculation:
Total moment, μB per cell: 0.00
Formation energy (no corrections), eV/atom: -0.436
SG: No. 123

Cell and atoms, written as POSCAR:
```
LiNb2InN
1.0
4.2592 0.0000 0.0000
0.0000 4.2592 0.0000
0.0000 0.0000 4.2762
N In Li Nb
1 1 1 2
Cartesian
0.0000 0.0000 0.0000
2.1296 2.1296 2.1381
0.0000 0.0000 2.1381
2.1296 0.0000 0.0000
0.0000 2.1296 0.0000
```

---

[3]
MgOsRh2: relaxed, GGA-PBE.

Values from the calculation:
Total moment, μB per cell: 0.35
SG: No. 160
Energy of formation from the pure elements, eV/atom: 0.05

Cell and atoms, written as POSCAR:
```
MgOsRh2
1.0
-0.3183 5.4643 7.2075
-2.1010 3.5208 8.0683
0.6240 3.1716 8.4533
Mg Os Rh
1 1 2
Cartesian
-0.8999 6.0938 11.8946
-1.3411 9.0810 17.7254
-0.0032 0.0220 0.0429
-0.4487 3.0384 5.9307
```

---

[4]
CdRh3: relaxed, GGA-PBE.

Values from the calculation:
Total moment, μB per cell: 0.00
SG: No. 59
Energy of formation from the pure elements, eV/atom: 0.07

Cell and atoms, written as POSCAR:
```
CdRh3
1.0
-1.2532 -4.1041 1.5748
3.7527 0.0236 3.0477
-3.1856 2.4704 3.9034
Rh Cd
6 2
Cartesian
2.3539 0.6462 3.5573
-0.8206 -1.4395 2.2295
-2.4359 -0.1868 4.2088
0.7837 1.8639 5.4813
-0.3700 1.2429 2.9448
1.9033 -2.0362 2.8420
0.2494 -0.8014 4.7441
1.2839 0.0081 1.0427
```